# 1
The following is a DFT calculation (PBE-GGA) of a relaxed PrNdAg3 crystal.

ρ, g/cm³: 8.0
Polymorph energy (0 for the lowest one), meV per atom: 22.8
Raw total energy, eV/atom: -3.842
Formation energy, eV per atom: -0.22

Lattice parameters (Å, degrees): 7.1612 4.8032 7.8203 90.00 109.20 90.00
Space group P2_1/m (No. 11)
Unique sites:
Pr 0.1190 0.2500 0.3688 x2
Nd 0.4668 0.7500 0.8111 x2
Ag 0.1645 0.7500 0.0454 x2
Ag 0.1693 0.2500 0.8166 x2
Ag 0.4213 0.7500 0.4054 x2



# 2
The following is a DFT calculation (PBE-GGA) of a relaxed RbCo2PtSe crystal.

ρ, g/cm³: 7.5
Raw total energy, eV/atom: -4.369

Lattice parameters (Å, degrees): 4.5922 4.5922 5.0004 90.00 90.00 90.00
Space group P4/mmm (No. 123)
Unique sites:
Rb 0.0000 0.0000 0.0000 x1
Co 0.0000 0.5000 0.5000 x2
Pt 0.5000 0.5000 0.0000 x1
Se 0.5000 0.5000 0.5000 x1



# 3
The following is a DFT calculation (PBE-GGA) of a relaxed CsRbAsCl6 crystal.

ρ, g/cm³: 2.3
Raw total energy, eV/atom: -3.115

Lattice parameters (Å, degrees): 7.7540 7.7540 6.9384 90.00 90.00 120.00
Space group P312 (No. 149)
Unique sites:
Cs 0.0000 0.0000 0.0000 x1
Rb 0.3333 0.6667 0.5000 x1
As 0.6667 0.3333 0.5000 x1
Cl 0.4130 0.0813 0.7028 x6



# 4
The following is a DFT calculation (PBE-GGA) of a relaxed Pr3TmSn crystal.

ρ, g/cm³: 6.9
Raw total energy, eV/atom: -4.526
Formation energy, eV per atom: 0.04

Lattice parameters (Å, degrees): 11.4877 8.4678 6.9959 90.00 90.00 90.00
Space group Ima2 (No. 46)
Unique sites:
Pr 0.0262 0.2450 0.0000 x8
Pr 0.2500 0.0762 0.7687 x4
Tm 0.2500 0.7454 0.0492 x4
Sn 0.2500 0.0520 0.2726 x4



# 5
The following is a DFT calculation (PBE-GGA) of a relaxed Nd12Si6Sb crystal.

ρ, g/cm³: 6.2
Raw total energy, eV/atom: -5.516

Lattice parameters (Å, degrees): 10.2549 10.2549 10.2549 90.00 90.00 90.00
Space group Im-3 (No. 204)
Unique sites:
Nd 0.0000 0.2957 0.1894 x24
Si 0.0000 0.1139 0.5000 x12
Sb 0.0000 0.0000 0.0000 x2



# 6
The following is a DFT calculation (PBE-GGA) of a relaxed CsP2Au6 crystal.

ρ, g/cm³: 10.2
Raw total energy, eV/atom: -3.586
Formation energy, eV per atom: -0.10

Lattice parameters (Å, degrees): 11.4521 10.3508 8.4593 90.00 116.46 90.00
Space group C2/c (No. 15)
Unique sites:
Cs 0.0000 0.2476 0.2500 x4
P 0.1605 0.1038 0.7841 x8
Au 0.1188 0.4558 0.0269 x8
Au 0.1235 0.3262 0.7280 x8
Au 0.1353 0.0168 0.0310 x8